## Ba2MnWO6 (PBE with a Hubbard U)

Data for an optimized crystal structure of Ba2MnWO6.

Unit cell a=5.899 b=5.899 c=5.899 alpha=120.00 beta=120.00 gamma=90.00
Each line ends with the local moment (μB).
Sites, in units of the cell vectors:
Ba1 0.750 0.250 0.500  0.00
Ba2 0.250 0.750 0.500  0.00
O1 0.235 0.235 0.000  0.02
O2 0.765 0.235 0.000  0.02
O3 0.235 0.235 0.470  0.02
O4 0.235 0.765 0.000  0.02
O5 0.765 0.765 0.000  0.02
O6 0.765 0.765 0.530  0.02
Mn1 0.500 0.500 0.000  4.62
W1 0.000 0.000 0.000  0.08

Properties
crystal system: cubic
space group: Fm-3m
spin magnetization: 0.500 μB per atom
calculated total energy: -72.88 eV for the cell shown